# 1
DFT (PBE-GGA) results for LaAgTe2I after structural relaxation.

```
data_LaAgTe2I
_chemical_formula_sum 'La1 Ag1 Te2 I1'
_space_group_name_H-M_alt 'P 4/m m m'
_space_group_IT_number 123
_space_group_name_Hall '-P 4 2'
_cell_length_a 6.183
_cell_length_b 6.183
_cell_length_c 6.222
_cell_angle_alpha 90.00
_cell_angle_beta 90.00
_cell_angle_gamma 90.00
loop_
_atom_site_label
_atom_site_type_symbol
_atom_site_fract_x
_atom_site_fract_y
_atom_site_fract_z
La1 La 0.000 0.000 0.000
Ag1 Ag 0.500 0.500 0.500
Te1 Te 0.000 0.500 0.000
I1 I 0.000 0.000 0.500
```

Computed properties:
D(E_F)   8.0 states/eV per cell
Density   4.39 g cm⁻³
ΔE to the lowest computed polymorph   171.3 meV/atom
Volume   237.9 Å³/cell
Total DFT energy (no corrections)   -3.3522 eV per atom
ΔE_f (raw)   -1.1 eV per formula unit
Spin magnetization   0.00 Bohr magnetons per cell

***

# 2
DFT (PBE-GGA) results for Ac6PdPt2N after structural relaxation.

```
data_Ac6PdPt2N
_chemical_formula_sum 'Ac6 Pd1 Pt2 N1'
_space_group_name_H-M_alt 'P 1'
_space_group_IT_number 1
_cell_length_a 7.333
_cell_length_b 7.462
_cell_length_c 8.101
_cell_angle_alpha 62.61
_cell_angle_beta 64.31
_cell_angle_gamma 60.97
loop_
_space_group_symop_operation_xyz
'x,y,z'
loop_
_atom_site_label
_atom_site_type_symbol
_atom_site_fract_x
_atom_site_fract_y
_atom_site_fract_z
Ac1 Ac 0.000 0.000 0.000
Ac2 Ac 0.133 0.538 0.470
Ac3 Ac 0.304 0.292 0.002
Ac4 Ac 0.454 0.822 0.469
Ac5 Ac 0.632 0.681 0.970
Ac6 Ac 0.835 0.154 0.471
Pd1 Pd 0.722 0.408 0.742
Pt1 Pt 0.398 0.092 0.696
Pt2 Pt 0.892 0.590 0.220
N1 N 0.184 0.941 0.264
```

Computed properties:
D(E_F)   6.5 states/eV per cell
Density   9.39 g cm⁻³
Volume   331.3 Å³/cell
Total DFT energy (no corrections)   -5.8196 eV per atom
ΔE_f (raw)   -7.9 eV per formula unit
Spin magnetization   0.00 Bohr magnetons per cell